1.
BaHfHg3 | PBE | relaxed

Cell and atoms, written as POSCAR:
```
BaHfHg3
1.0
6.093 0.000 0.000
0.000 6.093 0.000
0.000 0.000 6.093
Ba Hf Hg
1 1 3
direct
0.000 0.000 0.000 Ba
0.500 0.500 0.500 Hf
0.000 0.000 0.500 Hg
0.000 0.500 0.000 Hg
0.500 0.000 0.000 Hg
```

The value obtained for the final energy is -7.07 eV/cell. For the excess energy over the best structure of this formula in the dataset, the calculation gives 5.60 eV per formula unit. The value obtained for the energy of formation is 1.143 eV/atom.



2.
BaHfHg2N | PBE | relaxed

Cell and atoms, written as POSCAR:
```
BaHfHg2N
1.0
5.873 0.000 0.000
0.000 5.873 0.000
0.000 0.000 4.057
Ba Hf Hg N
1 1 2 1
direct
0.000 0.000 0.000 Ba
0.500 0.500 0.000 Hf
0.000 0.500 0.500 Hg
0.500 0.000 0.500 Hg
0.500 0.500 0.500 N
```

The value obtained for the final energy is -20.79 eV/cell.



3.
BaHf2HgN | PBE | relaxed

Cell and atoms, written as POSCAR:
```
BaHf2HgN
1.0
4.422 0.000 0.000
0.000 4.422 0.000
0.000 0.000 6.679
Ba Hf Hg N
1 2 1 1
direct
0.000 0.000 0.000 Ba
0.000 0.500 0.500 Hf
0.500 0.000 0.500 Hf
0.500 0.500 0.000 Hg
0.500 0.500 0.500 N
```

The value obtained for the final energy is -30.62 eV/cell.



4.
BaHf2HgPb | PBE | relaxed

Cell and atoms, written as POSCAR:
```
BaHf2HgPb
1.0
5.559 0.000 0.000
0.000 5.559 0.000
0.000 0.000 5.848
Ba Hf Hg Pb
1 2 1 1
direct
0.000 0.000 0.000 Ba
0.000 0.500 0.500 Hf
0.500 0.000 0.500 Hf
0.500 0.500 0.000 Hg
0.500 0.500 0.500 Pb
```

The value obtained for the final energy is -21.25 eV/cell. The value obtained for the energy of formation is 0.917 eV/atom.



5.
BaHf2HgPt | PBE | relaxed

Cell and atoms, written as POSCAR:
```
BaHf2HgPt
1.0
5.192 0.000 0.000
0.000 5.192 0.000
0.000 0.000 5.412
Ba Hf Hg Pt
1 2 1 1
direct
0.000 0.000 0.000 Ba
0.000 0.500 0.500 Hf
0.500 0.000 0.500 Hf
0.500 0.500 0.000 Hg
0.500 0.500 0.500 Pt
```

The value obtained for the final energy is -27.28 eV/cell. The value obtained for the energy of formation is 0.179 eV/atom.



6.
BaHfRe2Hg | PBE | relaxed

Cell and atoms, written as POSCAR:
```
BaHfRe2Hg
1.0
5.032 0.000 0.000
0.000 5.032 0.000
0.000 0.000 5.487
Ba Hf Re Hg
1 1 2 1
direct
0.000 0.000 0.000 Ba
0.500 0.500 0.500 Hf
0.000 0.500 0.000 Re
0.500 0.000 0.000 Re
0.000 0.000 0.500 Hg
```

The value obtained for the final energy is -22.16 eV/cell. The value obtained for the energy of formation is 2.982 eV/atom.



7.
BaHfHgRh2 | PBE | relaxed

Cell and atoms, written as POSCAR:
```
BaHfHgRh2
1.0
5.097 0.000 0.000
0.000 5.097 0.000
0.000 0.000 5.575
Ba Hf Hg Rh
1 1 1 2
direct
0.000 0.000 0.000 Ba
0.500 0.500 0.000 Hf
0.000 0.000 0.500 Hg
0.000 0.500 0.500 Rh
0.500 0.000 0.500 Rh
```

The value obtained for the final energy is -20.43 eV/cell. The value obtained for the energy of formation is 1.290 eV/atom.



8.
Ba2HfHgS5 | PBE | relaxed

Cell and atoms, written as POSCAR:
```
Ba2HfHgS5
1.0
2.009 -9.278 0.000
2.009 9.278 0.000
0.000 0.000 12.787
Ba Hf Hg S
4 2 2 10
direct
0.117 0.883 0.500 Ba
0.130 0.870 0.112 Ba
0.870 0.130 0.612 Ba
0.883 0.117 0.000 Ba
0.215 0.785 0.818 Hf
0.785 0.215 0.318 Hf
0.458 0.542 0.256 Hg
0.542 0.458 0.756 Hg
0.077 0.923 0.864 S
0.284 0.716 0.449 S
0.298 0.702 0.184 S
0.349 0.651 0.811 S
0.498 0.502 0.576 S
0.502 0.498 0.076 S
0.651 0.349 0.311 S
0.702 0.298 0.684 S
0.716 0.284 0.949 S
0.923 0.077 0.364 S
```

The value obtained for the final energy is -96.35 eV/cell.



9.
Ba2HfHgSe5 | PBE | relaxed

Cell and atoms, written as POSCAR:
```
Ba2HfHgSe5
1.0
2.095 -9.664 0.000
2.095 9.664 0.000
0.000 0.000 13.258
Ba Hf Hg Se
4 2 2 10
direct
0.118 0.882 0.500 Ba
0.129 0.871 0.113 Ba
0.871 0.129 0.613 Ba
0.882 0.118 0.000 Ba
0.215 0.785 0.817 Hf
0.785 0.215 0.317 Hf
0.457 0.543 0.251 Hg
0.543 0.457 0.751 Hg
0.076 0.924 0.863 Se
0.285 0.715 0.452 Se
0.298 0.702 0.180 Se
0.350 0.650 0.810 Se
0.497 0.503 0.569 Se
0.503 0.497 0.069 Se
0.650 0.350 0.310 Se
0.702 0.298 0.680 Se
0.715 0.285 0.952 Se
0.924 0.076 0.363 Se
```

The value obtained for the final energy is -88.18 eV/cell.



10.
BaHf2TcHg | PBE | relaxed

Cell and atoms, written as POSCAR:
```
BaHf2TcHg
1.0
5.279 0.000 0.000
0.000 5.279 0.000
0.000 0.000 4.909
Ba Hf Tc Hg
1 2 1 1
direct
0.000 0.000 0.000 Ba
0.000 0.500 0.000 Hf
0.500 0.000 0.000 Hf
0.000 0.000 0.500 Tc
0.500 0.500 0.500 Hg
```

The value obtained for the final energy is -21.49 eV/cell. For the excess energy over the best structure of this formula in the dataset, the calculation gives 4.29 eV per formula unit. The value obtained for the energy of formation is 2.201 eV/atom.



11.
BaHf2TcHg | PBE | relaxed

Cell and atoms, written as POSCAR:
```
BaHf2TcHg
1.0
5.317 0.000 0.000
0.000 5.317 0.000
0.000 0.000 5.210
Ba Hf Tc Hg
1 2 1 1
direct
0.000 0.000 0.000 Ba
0.000 0.500 0.500 Hf
0.500 0.000 0.500 Hf
0.500 0.500 0.000 Tc
0.500 0.500 0.500 Hg
```

The value obtained for the final energy is -25.78 eV/cell. For the excess energy over the best structure of this formula in the dataset, the calculation gives 0.00 eV per formula unit. The value obtained for the energy of formation is 1.344 eV/atom.



12.
Ba2HfHgTe5 | PBE | relaxed

Cell and atoms, written as POSCAR:
```
Ba2HfHgTe5
1.0
2.234 -10.394 0.000
2.234 10.394 0.000
0.000 0.000 14.020
Ba Hf Hg Te
4 2 2 10
direct
0.119 0.881 0.500 Ba
0.128 0.872 0.111 Ba
0.872 0.128 0.611 Ba
0.881 0.119 0.000 Ba
0.216 0.784 0.813 Hf
0.784 0.216 0.313 Hf
0.457 0.543 0.245 Hg
0.543 0.457 0.745 Hg
0.076 0.924 0.857 Te
0.285 0.715 0.452 Te
0.297 0.703 0.173 Te
0.353 0.647 0.808 Te
0.497 0.503 0.562 Te
0.503 0.497 0.062 Te
0.647 0.353 0.308 Te
0.703 0.297 0.673 Te
0.715 0.285 0.952 Te
0.924 0.076 0.357 Te
```

The value obtained for the final energy is -78.88 eV/cell.